# 1
A geometry-optimized Pm3AlAg3 structure, computed with GGA-PBE.

E = -55.316 eV per cell
ρ = 7.5 Mg/m³
ΔE_f = -0.159 eV per atom
DOS at the Fermi energy = 5.96 states/eV/f.u.
crystal system = hexagonal
total moment = 0.00 μB per formula unit
energy above the most stable polymorph in this dataset = 112 meV/atom

Unit cell a=4.976 b=9.001 c=9.001 alpha=120.00 beta=90.00 gamma=90.00
Positions (direct):
Pm: 0.750 0.651 0.559
Pm: 0.750 0.441 0.093
Pm: 0.750 0.907 0.349
Pm: 0.250 0.349 0.441
Pm: 0.250 0.559 0.907
Pm: 0.250 0.093 0.651
Al: 0.250 0.667 0.333
Al: 0.750 0.333 0.667
Ag: 0.250 0.829 0.792
Ag: 0.250 0.208 0.037
Ag: 0.250 0.963 0.171
Ag: 0.750 0.171 0.208
Ag: 0.750 0.792 0.963
Ag: 0.750 0.037 0.829

# 2
A geometry-optimized Hf2ZrF2 structure, computed with GGA-PBE.

E = -74.234 eV per cell
ρ = 8.1 Mg/m³
raw formation energy = -0.98 eV per atom
DOS at the Fermi energy = 6.64 states/eV/f.u.
crystal system = tetragonal
total moment = 0.00 μB per formula unit
energy above the most stable polymorph in this dataset = 0 meV/atom

Unit cell a=8.148 b=8.148 c=2.989 alpha=90.00 beta=90.00 gamma=90.00
Positions (direct):
Hf: 0.267 0.767 0.500
Hf: 0.767 0.733 0.500
Hf: 0.733 0.233 0.500
Hf: 0.233 0.267 0.500
Zr: 0.000 0.000 0.000
Zr: 0.500 0.500 0.000
F: 0.399 0.899 0.000
F: 0.899 0.601 0.000
F: 0.601 0.101 0.000
F: 0.101 0.399 0.000

# 3
A geometry-optimized ZnSiPt2 structure, computed with GGA-PBE.

E = -20.468 eV per cell
ρ = 13.5 Mg/m³
raw formation energy = -0.42 eV per atom
DOS at the Fermi energy = 0.81 states/eV/f.u.
crystal system = monoclinic
total moment = 0.00 μB per formula unit

Unit cell a=4.330 b=4.330 c=5.130 alpha=78.70 beta=78.70 gamma=39.19
Positions (direct):
Pt: 0.013 0.013 0.987
Pt: 0.487 0.487 0.513
Si: 0.750 0.750 0.750
Zn: 0.250 0.250 0.250

# 4
A geometry-optimized CoAgAs2 structure, computed with GGA-PBE.

E = -18.930 eV per cell
ρ = 8.0 Mg/m³
ΔE_f = 0.081 eV per atom
DOS at the Fermi energy = 3.08 states/eV/f.u.
crystal system = tetragonal
total moment = 0.00 μB per formula unit
energy above the most stable polymorph in this dataset = 56 meV/atom

Unit cell a=2.918 b=2.918 c=7.697 alpha=90.00 beta=90.00 gamma=90.00
Positions (direct):
Ag: 0.500 0.500 0.750
As: 0.000 0.000 0.059
As: 0.000 0.000 0.441
Co: 0.500 0.500 0.250

# 5
A geometry-optimized Pm8Cd2Ni structure, computed with GGA-PBE.

E = -46.908 eV per cell
ρ = 7.3 Mg/m³
ΔE_f = -0.117 eV per atom
DOS at the Fermi energy = 12.21 states/eV/f.u.
crystal system = monoclinic
total moment = 0.00 μB per formula unit

Unit cell a=5.349 b=6.931 c=9.463 alpha=103.04 beta=106.42 gamma=90.00
Positions (direct):
Pm: 0.410 0.562 0.821
Pm: 0.648 0.958 0.296
Pm: 0.798 0.705 0.595
Pm: 0.981 0.224 0.962
Pm: 0.202 0.295 0.405
Pm: 0.352 0.042 0.704
Pm: 0.590 0.438 0.179
Pm: 0.019 0.776 0.038
Cd: 0.810 0.265 0.620
Cd: 0.190 0.735 0.380
Ni: 0.500 0.000 0.000

# 6
A geometry-optimized Zr3Fe8Sn structure, computed with GGA-PBE.

E = -100.354 eV per cell
ρ = 8.1 Mg/m³
ΔE_f = -0.250 eV per atom
DOS at the Fermi energy = 6.44 states/eV/f.u.
crystal system = trigonal
total moment = 13.49 μB per formula unit

Unit cell a=4.964 b=4.964 c=8.601 alpha=73.23 beta=73.23 gamma=60.00
Last column: magnetic moment on the atom in μB.
Positions (direct):
Zr: 0.375 0.375 0.874  -0.45
Zr: 0.998 0.998 0.005  -0.45
Zr: 0.501 0.501 0.496  -0.48
Fe: 0.938 0.438 0.186  1.94
Fe: 0.437 0.937 0.688  1.96
Fe: 0.438 0.438 0.186  1.94
Fe: 0.937 0.937 0.688  1.96
Fe: 0.187 0.187 0.438  1.92
Fe: 0.688 0.688 0.936  1.92
Fe: 0.438 0.938 0.186  1.94
Fe: 0.937 0.437 0.688  1.96
Sn: 0.874 0.874 0.379  -0.05

Among the records above, which one has the lowest DOS at the Fermi energy?
ZnSiPt2

What did the sixth record say?
A geometry-optimized Zr3Fe8Sn structure, computed with GGA-PBE.

E = -100.354 eV per cell
ρ = 8.1 Mg/m³
ΔE_f = -0.250 eV per atom
DOS at the Fermi energy = 6.44 states/eV/f.u.
crystal system = trigonal
total moment = 13.49 μB per formula unit

Unit cell a=4.964 b=4.964 c=8.601 alpha=73.23 beta=73.23 gamma=60.00
Last column: magnetic moment on the atom in μB.
Positions (direct):
Zr: 0.375 0.375 0.874  -0.45
Zr: 0.998 0.998 0.005  -0.45
Zr: 0.501 0.501 0.496  -0.48
Fe: 0.938 0.438 0.186  1.94
Fe: 0.437 0.937 0.688  1.96
Fe: 0.438 0.438 0.186  1.94
Fe: 0.937 0.937 0.688  1.96
Fe: 0.187 0.187 0.438  1.92
Fe: 0.688 0.688 0.936  1.92
Fe: 0.438 0.938 0.186  1.94
Fe: 0.937 0.437 0.688  1.96
Sn: 0.874 0.874 0.379  -0.05

Which formula does entry 6 have?
Zr3Fe8Sn

The lowest E belongs to which entry?
Zr3Fe8Sn